# 1
# La2TbEu

Crystalline La2TbEu at its relaxed geometry (GGA-PBE, Alexandria via LeMat-Bulk).

Cell: 5.3050 5.3050 5.1568 Å, 90.00 90.00 90.00°
Positions (direct):
La  0.0000  0.5000  0.0000
La  0.5000  0.0000  0.0000
Tb  0.0000  0.0000  0.5000
Eu  0.5000  0.5000  0.5000

Its calculated formation energy is 0.07 eV/atom. Its space-group type is No. 123.

# 2
# La2TbEu

Crystalline La2TbEu at its relaxed geometry (GGA-PBE, Alexandria via LeMat-Bulk).

Cell: 5.9297 5.9297 5.9297 Å, 60.00 60.00 60.00°
Positions (direct):
La  0.2500  0.2500  0.2500
La  0.7500  0.7500  0.7500
Tb  0.0000  0.0000  0.0000
Eu  0.5000  0.5000  0.5000

Its calculated formation energy is 0.12 eV/atom. Its space-group type is No. 225.

Question: Number 2 is which compound?
Answer: La2TbEu